DFT (GGA-PBE) results for an optimized crystal structure of TbMgSc2.

Unit cell a=3.388 b=3.388 c=8.998 alpha=90.00 beta=90.00 gamma=90.00
Element x y z (fractional)
Sc: 0.000 0.000 0.234
Sc: 0.000 0.000 0.766
Tb: 0.500 0.500 0.500
Mg: 0.500 0.500 0.000

Excess energy over the best structure of this formula in the dataset: 0.30 kcal/mol of atoms
Space-group type: P4/mmm
Formation energy from the elements: 0.0075 eV per atom
E_tot: -4.714 eV per atom